Record 1
# Ca3Co4As4, relaxed, DFT PBE
# Magnetization, Bohr magnetons per cell: 4.2
# Formation energy, eV/f.u.: -7.25
data_Ca3Co4As4
_symmetry_space_group_name_H-M 'I -4 3 m'
_symmetry_Int_Tables_number 217
_symmetry_space_group_name_Hall 'I -4 2 3'
_cell_length_a 7.287
_cell_length_b 7.287
_cell_length_c 7.287
_cell_angle_alpha 90.00
_cell_angle_beta 90.00
_cell_angle_gamma 90.00
loop_
_atom_site_label
_atom_site_fract_x
_atom_site_fract_y
_atom_site_fract_z
_atom_site_occupancy
Ca1 0.000 0.000 0.500 1
Co1 0.132 0.132 0.132 1
As1 0.187 0.187 0.813 1

=====

Record 2
# Hg2SI, relaxed, DFT PBE
# Magnetization, Bohr magnetons per cell: 0.0
# Formation energy (no corrections), meV per atom: -20
data_Hg2SI
_symmetry_space_group_name_H-M 'R -3 m'
_symmetry_Int_Tables_number 166
_symmetry_space_group_name_Hall '-R 3 2"'
_cell_length_a 4.2219
_cell_length_b 4.2219
_cell_length_c 21.1582
_cell_angle_alpha 90.00
_cell_angle_beta 90.00
_cell_angle_gamma 120.00
loop_
_atom_site_label
_atom_site_fract_x
_atom_site_fract_y
_atom_site_fract_z
_atom_site_occupancy
Hg1 0.0000 0.0000 0.2332 1
S1 0.0000 0.0000 0.5000 1
I1 0.0000 0.0000 0.0000 1

=====

Record 3
# KIn2Pt, relaxed, DFT PBE
# Magnetization, Bohr magnetons per cell: 0.0
# Formation energy, eV/f.u.: -0.79
data_KIn2Pt
_symmetry_space_group_name_H-M 'I m m m'
_symmetry_Int_Tables_number 71
_symmetry_space_group_name_Hall '-I 2 2'
_cell_length_a 3.102
_cell_length_b 5.830
_cell_length_c 11.716
_cell_angle_alpha 90.00
_cell_angle_beta 90.00
_cell_angle_gamma 90.00
loop_
_atom_site_label
_atom_site_fract_x
_atom_site_fract_y
_atom_site_fract_z
_atom_site_occupancy
K1 0.000 0.000 0.000 1
In1 0.000 0.500 0.197 1
Pt1 0.000 0.000 0.500 1

=====

Record 4
# TaSbTe2Au, relaxed, DFT PBE
# Magnetization, Bohr magnetons per cell: 0.0
# Formation energy (no corrections), meV per atom: 502
data_TaSbTe2Au
_symmetry_space_group_name_H-M 'P 4/m m m'
_symmetry_Int_Tables_number 123
_symmetry_space_group_name_Hall '-P 4 2'
_cell_length_a 5.308
_cell_length_b 5.308
_cell_length_c 5.459
_cell_angle_alpha 90.00
_cell_angle_beta 90.00
_cell_angle_gamma 90.00
loop_
_atom_site_label
_atom_site_fract_x
_atom_site_fract_y
_atom_site_fract_z
_atom_site_occupancy
Ta1 0.000 0.000 0.000 1
Sb1 0.000 0.000 0.500 1
Te1 0.000 0.500 0.000 1
Au1 0.500 0.500 0.500 1

=====

Record 5
# SrHCl2, relaxed, DFT PBE
# E, eV per atom: -3.48
# Magnetization, Bohr magnetons per cell: 4.0
data_SrHCl2
_symmetry_space_group_name_H-M 'F m -3 m'
_symmetry_Int_Tables_number 225
_symmetry_space_group_name_Hall '-F 4 2 3'
_cell_length_a 7.073
_cell_length_b 7.073
_cell_length_c 7.073
_cell_angle_alpha 90.00
_cell_angle_beta 90.00
_cell_angle_gamma 90.00
loop_
_atom_site_label
_atom_site_fract_x
_atom_site_fract_y
_atom_site_fract_z
_atom_site_occupancy
Sr1 0.000 0.000 0.000 1
H1 0.000 0.000 0.500 1
Cl1 0.250 0.250 0.250 1

=====

Record 6
# PaV2Rh, relaxed, DFT PBE
# Magnetization, Bohr magnetons per cell: 0.1
# Formation energy, eV/f.u.: -0.01
data_PaV2Rh
_symmetry_space_group_name_H-M 'P 4/m m m'
_symmetry_Int_Tables_number 123
_symmetry_space_group_name_Hall '-P 4 2'
_cell_length_a 4.570
_cell_length_b 4.570
_cell_length_c 3.089
_cell_angle_alpha 90.00
_cell_angle_beta 90.00
_cell_angle_gamma 90.00
loop_
_atom_site_label
_atom_site_fract_x
_atom_site_fract_y
_atom_site_fract_z
_atom_site_occupancy
Pa1 0.000 0.000 0.000 1
V1 0.000 0.500 0.500 1
Rh1 0.500 0.500 0.000 1

=====

Record 7
# PmHoTlGe, relaxed, DFT PBE
# Magnetization, Bohr magnetons per cell: 0.0
# Formation energy, eV/f.u.: -1.73
data_PmHoTlGe
_symmetry_space_group_name_H-M 'F -4 3 m'
_symmetry_Int_Tables_number 216
_symmetry_space_group_name_Hall 'F -4 2 3'
_cell_length_a 7.454
_cell_length_b 7.454
_cell_length_c 7.454
_cell_angle_alpha 90.00
_cell_angle_beta 90.00
_cell_angle_gamma 90.00
loop_
_atom_site_label
_atom_site_fract_x
_atom_site_fract_y
_atom_site_fract_z
_atom_site_occupancy
Pm1 0.000 0.000 0.000 1
Ho1 0.000 0.000 0.500 1
Tl1 0.250 0.250 0.750 1
Ge1 0.250 0.250 0.250 1

=====

Record 8
# LiTm2TaS6, relaxed, DFT PBE
# Magnetization, Bohr magnetons per cell: 0.0
# Formation energy (no corrections), meV per atom: -1520
data_LiTm2TaS6
_symmetry_space_group_name_H-M 'R 3'
_symmetry_Int_Tables_number 146
_symmetry_space_group_name_Hall 'R 3'
_cell_length_a 6.5873
_cell_length_b 6.5873
_cell_length_c 17.8512
_cell_angle_alpha 90.00
_cell_angle_beta 90.00
_cell_angle_gamma 120.00
loop_
_atom_site_label
_atom_site_fract_x
_atom_site_fract_y
_atom_site_fract_z
_atom_site_occupancy
Li1 0.0000 0.0000 0.0000 1
Tm1 0.0000 0.0000 0.2086 1
Tm2 0.0000 0.0000 0.7111 1
Ta1 0.0000 0.0000 0.5181 1
S1 0.0077 0.7065 0.6089 1
S2 0.0395 0.3413 0.1135 1

=====

Record 9
# AlRu2Cl, relaxed, DFT PBE
# Magnetization, Bohr magnetons per cell: 0.0
# Formation energy (no corrections), meV per atom: 760
data_AlRu2Cl
_symmetry_space_group_name_H-M 'I -4 2 d'
_symmetry_Int_Tables_number 122
_symmetry_space_group_name_Hall 'I -4 2bw'
_cell_length_a 5.553
_cell_length_b 5.553
_cell_length_c 10.115
_cell_angle_alpha 90.00
_cell_angle_beta 90.00
_cell_angle_gamma 90.00
loop_
_atom_site_label
_atom_site_fract_x
_atom_site_fract_y
_atom_site_fract_z
_atom_site_occupancy
Al1 0.000 0.000 0.000 1
Ru1 0.224 0.250 0.625 1
Cl1 0.000 0.000 0.500 1

=====

Record 10
# Na2Zn5Au5, relaxed, DFT PBE
# Magnetization, Bohr magnetons per cell: 0.0
# Formation energy, eV/f.u.: -3.12
data_Na2Zn5Au5
_symmetry_space_group_name_H-M 'P m m m'
_symmetry_Int_Tables_number 47
_cell_length_a 4.414
_cell_length_b 5.439
_cell_length_c 9.571
_cell_angle_alpha 90.00
_cell_angle_beta 90.00
_cell_angle_gamma 90.00
loop_
_symmetry_equiv_pos_as_xyz
'x,y,z'
'-x,-y,-z'
'-x,-y,z'
'x,y,-z'
'x,-y,-z'
'-x,y,z'
'-x,y,-z'
'x,-y,z'
loop_
_atom_site_label
_atom_site_fract_x
_atom_site_fract_y
_atom_site_fract_z
_atom_site_occupancy
Na1 0.000 0.000 0.000 1
Na2 0.000 0.500 0.500 1
Zn1 0.500 0.000 0.500 1
Zn2 0.500 0.246 0.248 1
Au1 0.000 0.000 0.336 1
Au2 0.000 0.500 0.189 1
Au3 0.500 0.500 0.000 1

=====

Record 11
# CsLaTe2N, relaxed, DFT PBE
# Magnetization, Bohr magnetons per cell: 0.2
# Formation energy (no corrections), meV per atom: -376
data_CsLaTe2N
_symmetry_space_group_name_H-M 'P 4/m m m'
_symmetry_Int_Tables_number 123
_symmetry_space_group_name_Hall '-P 4 2'
_cell_length_a 6.862
_cell_length_b 6.862
_cell_length_c 4.081
_cell_angle_alpha 90.00
_cell_angle_beta 90.00
_cell_angle_gamma 90.00
loop_
_atom_site_label
_atom_site_fract_x
_atom_site_fract_y
_atom_site_fract_z
_atom_site_occupancy
Cs1 0.000 0.000 0.000 1
La1 0.500 0.500 0.500 1
Te1 0.000 0.500 0.500 1
N1 0.500 0.500 0.000 1

=====

Record 12
# UTiTcIr, relaxed, DFT PBE
# Magnetization, Bohr magnetons per cell: 8.8
# Formation energy, eV/f.u.: -1.39
data_UTiTcIr
_symmetry_space_group_name_H-M 'F -4 3 m'
_symmetry_Int_Tables_number 216
_symmetry_space_group_name_Hall 'F -4 2 3'
_cell_length_a 6.532
_cell_length_b 6.532
_cell_length_c 6.532
_cell_angle_alpha 90.00
_cell_angle_beta 90.00
_cell_angle_gamma 90.00
loop_
_atom_site_label
_atom_site_fract_x
_atom_site_fract_y
_atom_site_fract_z
_atom_site_occupancy
U1 0.000 0.000 0.000 1
Ti1 0.000 0.000 0.500 1
Tc1 0.250 0.250 0.750 1
Ir1 0.250 0.250 0.250 1